Ba2CuAg | PBE | relaxed

POSCAR file:
```
Ba2CuAg
1.0
-2.058 -4.234 7.044
0.517 -8.062 2.553
3.727 6.680 -3.642
Ba Cu Ag
2 1 1
Direct
0.997 0.997 0.000
0.754 0.254 0.500
0.416 0.416 0.000
0.333 0.833 0.500
```

Properties
The symmetry is Imm2, No. 44. Its volume is 40.6 Å³ per atom. The value obtained for the formation energy is -0.05 eV/atom.